No. 1
Below is an optimized crystal structure of Ce3AlCo, with properties calculated at the PBE level.

Computed properties:
Total magnetization, μB/f.u.: 0.91
Final energy, eV for the cell shown: -58.75
E above lowest polymorph, meV per atom: 74

a = 6.724 Å, b = 6.724 Å, c = 6.724 Å
α = 118.47°, β = 111.73°, γ = 98.81°
Element x y z (fractional)
Ce1 0.194 0.000 0.194
Ce2 0.219 0.489 0.270
Ce3 0.219 0.949 0.730
Ce4 0.781 0.051 0.270
Ce5 0.781 0.511 0.730
Ce6 0.806 0.000 0.806
Al1 0.311 0.500 0.811
Al2 0.689 0.500 0.189
Co1 0.500 0.189 0.689
Co2 0.500 0.811 0.311



No. 2
Below is an optimized crystal structure of Mn2BeIn, with properties calculated at the PBE level.

Computed properties:
Total magnetization, μB/f.u.: 0.00
Final energy, eV for the cell shown: -44.44
E above lowest polymorph, meV per atom: 491

a = 9.005 Å, b = 9.005 Å, c = 9.005 Å
α = 156.78°, β = 156.78°, γ = 33.07°
Element x y z (fractional)
Mn1 0.030 0.625 0.905
Mn2 0.375 0.280 0.405
Mn3 0.720 0.125 0.095
Mn4 0.875 0.970 0.595
Be1 0.000 0.000 0.000
Be2 0.750 0.250 0.500
In1 0.250 0.750 0.500
In2 0.500 0.500 0.000



No. 3
Below is an optimized crystal structure of ErTl3Bi3Te8, with properties calculated at the PBE level.

Computed properties:
Total magnetization, μB/f.u.: 0.00
Final energy, eV for the cell shown: -55.06
Uncorrected formation energy, eV/atom: -0.442

a = 9.011 Å, b = 9.011 Å, c = 9.428 Å
α = 118.45°, β = 118.45°, γ = 60.06°
Element x y z (fractional)
Er1 0.000 0.000 0.000
Tl1 0.000 0.000 0.500
Tl2 0.000 0.500 0.500
Tl3 0.500 0.000 0.500
Bi1 0.000 0.500 0.000
Bi2 0.500 0.000 0.000
Bi3 0.500 0.500 0.000
Te1 0.237 0.237 0.224
Te2 0.237 0.749 0.224
Te3 0.251 0.763 0.776
Te4 0.257 0.257 0.771
Te5 0.743 0.743 0.229
Te6 0.749 0.237 0.224
Te7 0.763 0.251 0.776
Te8 0.763 0.763 0.776



No. 4
Below is an optimized crystal structure of La2YMo, with properties calculated at the PBE level.

Computed properties:
Total magnetization, μB/f.u.: 0.00
Final energy, eV for the cell shown: -25.46
E above lowest polymorph, meV per atom: 126

a = 10.452 Å, b = 10.452 Å, c = 10.452 Å
α = 19.87°, β = 19.87°, γ = 19.87°
Element x y z (fractional)
La1 0.236 0.236 0.236
La2 0.764 0.764 0.764
Y1 0.000 0.000 0.000
Mo1 0.500 0.500 0.500



No. 5
Below is an optimized crystal structure of BePb5, with properties calculated at the PBE level.

Computed properties:
Total magnetization, μB/f.u.: 0.00
Final energy, eV for the cell shown: -20.74
E above lowest polymorph, meV per atom: 0

a = 6.554 Å, b = 6.554 Å, c = 8.518 Å
α = 109.54°, β = 109.54°, γ = 29.76°
Element x y z (fractional)
Be1 0.000 0.000 0.000
Pb1 0.000 0.000 0.500
Pb2 0.337 0.337 0.713
Pb3 0.370 0.370 0.132
Pb4 0.630 0.630 0.868
Pb5 0.663 0.663 0.287



No. 6
Below is an optimized crystal structure of Li2Ga2Au, with properties calculated at the PBE level.

Computed properties:
Total magnetization, μB/f.u.: 0.00
Final energy, eV for the cell shown: -13.90
E above lowest polymorph, meV per atom: 275

a = 7.080 Å, b = 7.080 Å, c = 7.080 Å
α = 150.67°, β = 150.67°, γ = 41.96°
Element x y z (fractional)
Li1 0.250 0.750 0.500
Li2 0.750 0.250 0.500
Ga1 0.098 0.098 0.000
Ga2 0.902 0.902 0.000
Au1 0.500 0.500 0.000



No. 7
Below is an optimized crystal structure of TaCd2Cl, with properties calculated at the PBE level.

Computed properties:
Total magnetization, μB/f.u.: 0.00
Final energy, eV for the cell shown: -15.49
E above lowest polymorph, meV per atom: 47
Uncorrected formation energy, eV/atom: 0.011

a = 3.005 Å, b = 3.005 Å, c = 10.015 Å
α = 90.00°, β = 90.00°, γ = 90.00°
Element x y z (fractional)
Ta1 0.000 0.000 0.000
Cd1 0.000 0.000 0.460
Cd2 0.500 0.500 0.213
Cl1 0.500 0.500 0.838



No. 8
Below is an optimized crystal structure of Ba2BeTc, with properties calculated at the PBE level.

Computed properties:
Total magnetization, μB/f.u.: 0.00
Final energy, eV for the cell shown: -12.94

a = 9.781 Å, b = 9.781 Å, c = 9.781 Å
α = 22.42°, β = 22.42°, γ = 22.42°
Element x y z (fractional)
Ba1 0.245 0.245 0.245
Ba2 0.755 0.755 0.755
Be1 0.000 0.000 0.000
Tc1 0.500 0.500 0.500